CuSnGe: optimized geometry, PBE.

The space group is F-43m (No. 216) and the conventional cell measures 6.2325, 6.2325 and 6.2325 Å, with angles of 90.00, 90.00 and 90.00 degrees. The inequivalent atoms are Cu at (0.0000, 0.0000, 0.0000), Sn at (0.2500, 0.2500, 0.2500) and Ge at (0.2500, 0.2500, 0.7500).

The calculation puts the energy above the most stable polymorph in this dataset at 0.0 meV/atom. The calculation puts the total energy at -48.27 eV for the cell shown.



Cu3Sn2Ge: optimized geometry, PBE.

The space group is P-3m1 (No. 164) and the conventional cell measures 4.8464, 4.8464 and 6.6890 Å, with angles of 90.00, 90.00 and 120.00 degrees. The inequivalent atoms are Cu at (0.0000, 0.5000, 0.0000), Sn at (0.3333, 0.6667, 0.3427) and Ge at (0.0000, 0.0000, 0.5000).

The calculation puts the total energy at -21.42 eV for the cell shown.



Cu2SnGe: optimized geometry, PBE.

The space group is Pm-3m (No. 221) and the conventional cell measures 6.4997, 6.4997 and 6.4997 Å, with angles of 90.00, 90.00 and 90.00 degrees. The inequivalent atoms are Cu at (0.2275, 0.2275, 0.2275), Sn at (0.0000, 0.5000, 0.5000), Sn at (0.5000, 0.5000, 0.5000), Ge at (0.0000, 0.0000, 0.0000) and Ge at (0.0000, 0.0000, 0.5000).

The calculation puts the total energy at -61.11 eV for the cell shown.



Cu2SnGe: optimized geometry, PBE.

The space group is Pm-3m (No. 221) and the conventional cell measures 6.4996, 6.4996 and 6.4996 Å, with angles of 90.00, 90.00 and 90.00 degrees. The inequivalent atoms are Cu at (0.2273, 0.2273, 0.2273), Sn at (0.0000, 0.5000, 0.5000), Sn at (0.5000, 0.5000, 0.5000), Ge at (0.0000, 0.0000, 0.0000) and Ge at (0.0000, 0.0000, 0.5000).

The calculation puts the total energy at -61.11 eV for the cell shown.



Tm2Cu2SnGe: optimized geometry, PBE.

The space group is P3m1 (No. 156) and the conventional cell measures 4.3865, 4.3865 and 7.0950 Å, with angles of 90.00, 90.00 and 120.00 degrees. The inequivalent atoms are Tm at (0.0000, 0.0000, 0.0000), Tm at (0.0000, 0.0000, 0.4818), Cu at (0.3333, 0.6667, 0.1840), Cu at (0.6667, 0.3333, 0.6669), Sn at (0.3333, 0.6667, 0.7631) and Ge at (0.6667, 0.3333, 0.2685).

The calculation puts the total energy at -28.66 eV for the cell shown.



SrCu2Ge2: optimized geometry, PBE.

The space group is I4/mmm (No. 139) and the conventional cell measures 4.2494, 4.2494 and 10.5049 Å, with angles of 90.00, 90.00 and 90.00 degrees. The inequivalent atoms are Sr at (0.0000, 0.0000, 0.0000), Cu at (0.0000, 0.0000, 0.3793) and Ge at (0.0000, 0.5000, 0.2500).

The calculation puts the total energy at -39.24 eV for the cell shown.



SrCuGe: optimized geometry, PBE.

The space group is F-43m (No. 216) and the conventional cell measures 6.6276, 6.6276 and 6.6276 Å, with angles of 90.00, 90.00 and 90.00 degrees. The inequivalent atoms are Sr at (0.0000, 0.0000, 0.0000), Cu at (0.2500, 0.2500, 0.7500) and Ge at (0.0000, 0.0000, 0.5000).

The calculation puts the total energy at -41.22 eV for the cell shown.



SrCuGe2: optimized geometry, PBE.

The space group is F-43m (No. 216) and the conventional cell measures 7.0081, 7.0081 and 7.0081 Å, with angles of 90.00, 90.00 and 90.00 degrees. The inequivalent atoms are Sr at (0.0000, 0.0000, 0.0000), Cu at (0.2500, 0.2500, 0.2500), Ge at (0.0000, 0.0000, 0.5000) and Ge at (0.2500, 0.2500, 0.7500).

The calculation puts the total energy at -57.75 eV for the cell shown.



Sr2CuGe: optimized geometry, PBE.

The space group is F-43m (No. 216) and the conventional cell measures 7.4062, 7.4062 and 7.4062 Å, with angles of 90.00, 90.00 and 90.00 degrees. The inequivalent atoms are Sr at (0.0000, 0.0000, 0.0000), Sr at (0.2500, 0.2500, 0.2500), Cu at (0.2500, 0.2500, 0.7500) and Ge at (0.0000, 0.0000, 0.5000).

The calculation puts the total energy at -45.40 eV for the cell shown.



SrCu2Ge2: optimized geometry, PBE.

The space group is I4/mmm (No. 139) and the conventional cell measures 4.2752, 4.2752 and 10.2763 Å, with angles of 90.00, 90.00 and 90.00 degrees. The inequivalent atoms are Sr at (0.0000, 0.0000, 0.0000), Cu at (0.0000, 0.5000, 0.2500) and Ge at (0.0000, 0.0000, 0.3735).

The calculation puts the total energy at -40.47 eV for the cell shown.



SrCu9Ge4: optimized geometry, PBE.

The space group is I4/mcm (No. 140) and the conventional cell measures 8.3191, 8.3191 and 11.9656 Å, with angles of 90.00, 90.00 and 90.00 degrees. The inequivalent atoms are Sr at (0.0000, 0.0000, 0.2500), Cu at (0.0000, 0.5000, 0.0000), Cu at (0.0618, 0.2029, 0.0000), Cu at (0.1182, 0.3818, 0.1786) and Ge at (0.1788, 0.3212, 0.3789).

The calculation puts the total energy at -223.60 eV for the cell shown.



SrCuGe: optimized geometry, PBE.

The space group is F-43m (No. 216) and the conventional cell measures 6.9918, 6.9918 and 6.9918 Å, with angles of 90.00, 90.00 and 90.00 degrees. The inequivalent atoms are Sr at (0.0000, 0.0000, 0.0000), Cu at (0.2500, 0.2500, 0.7500) and Ge at (0.2500, 0.2500, 0.2500).

The calculation puts the total energy at -33.75 eV for the cell shown.